[1]
Here is a relaxed RbWAu3S4 crystal from OQMD via LeMat-Bulk. Energies are from GGA-PBE.

Output
Total energy = -4.6164 eV per atom
Space group = No. 215
Magnetization = 0.1370 μB/atom

Cell: 6.3057 6.3057 6.3057 Å, 90.00 90.00 90.00°
Closest atoms and distances in Å follow each position.
Sites, in units of the cell vectors:
1 Rb 0.0000 0.0000 0.0000  4 S 3.17
2 W 0.5000 0.5000 0.5000  4 S 2.30
3 Au 0.0000 0.5000 0.5000  4 S 2.62
4 Au 0.5000 0.0000 0.5000  4 S 2.62
5 Au 0.5000 0.5000 0.0000  4 S 2.62
6 S 0.2898 0.2898 0.2898  1 W 2.30
7 S 0.2898 0.7102 0.7102  1 W 2.30
8 S 0.7102 0.2898 0.7102  1 W 2.30
9 S 0.7102 0.7102 0.2898  1 W 2.30

[2]
Here is a relaxed SrCoHgS3 crystal from OQMD via LeMat-Bulk. Energies are from GGA-PBE.

Output
Space group = No. 63
Magnetization = 0.4999 μB/atom
ΔE to the lowest computed polymorph = 0 meV per atom

Cell: 6.5754 6.5754 10.8376 Å, 90.00 90.00 145.11°
Closest atoms and distances in Å follow each position.
Sites, in units of the cell vectors:
1 Sr 0.2455 0.7545 0.7500  6 S 3.01-3.08
2 Sr 0.7545 0.2455 0.2500  6 S 3.01-3.08
3 Co 0.0342 0.9658 0.2500  4 S 2.26-2.33
4 Co 0.9658 0.0342 0.7500  4 S 2.26-2.33
5 Hg 0.5000 0.5000 0.0000  6 S 2.76-2.83
6 Hg 0.5000 0.5000 0.5000  6 S 2.76-2.83
7 S 0.1378 0.8622 0.0789  1 Co 2.26
8 S 0.1378 0.8622 0.4211  1 Co 2.26
9 S 0.4356 0.5644 0.2500  2 Co 2.33
10 S 0.5644 0.4356 0.7500  2 Co 2.33
11 S 0.8622 0.1378 0.5789  1 Co 2.26
12 S 0.8622 0.1378 0.9211  1 Co 2.26